ZrPAu2 | PBE | optimized geometry

Cell: 10.7206 3.8075 3.7346 Å, 90.00 91.88 90.00°
Space group C2/m (No. 12)
Unique sites:
Zr1 0.0000 0.0000 0.0000
P1 0.0000 0.5000 0.5000
Au1 0.2213 0.5000 0.7490

Results
Energy relative to the elements   -487 meV per atom
Electronic total energy   -5.61 eV/atom